Entry 1:
DFT (PBE) results for Al2InSiMo after structural relaxation.

Calculated values
- Raw formation energy: 1.631 eV per atom

Geometry as extended XYZ:
```
5
Lattice="5.083 0.000 0.000 0.000 5.078 0.000 0.000 0.000 5.083" Properties=species:S:1:pos:R:3 pbc="T T T"
Mo 2.542 2.539 2.542
Al 0.000 0.000 2.542
Al 2.542 0.000 0.000
Si 0.000 2.539 0.000
In 0.000 0.000 0.000
```

=====

Entry 2:
DFT (PBE) results for AlIn2TcMo after structural relaxation.

Calculated values
- Energy of formation: 720 kJ/mol of formula units

Geometry as extended XYZ:
```
5
Lattice="-0.488 -4.919 -0.140 3.128 -0.408 3.451 -3.643 0.267 3.333" Properties=species:S:1:pos:R:3 pbc="T T T"
Mo 1.564 -0.204 1.726
Al 0.000 0.000 0.000
Tc -0.502 -2.530 3.323
In -1.822 0.133 1.667
In -0.244 -2.460 -0.070
```

=====

Entry 3:
DFT (PBE) results for AlInTeMo2 after structural relaxation.

Calculated values
- Raw formation energy: 1.679 eV per atom

Geometry as extended XYZ:
```
5
Lattice="-3.817 -2.376 -2.259 0.373 -4.120 3.701 -3.261 2.393 2.993" Properties=species:S:1:pos:R:3 pbc="T T T"
Mo -1.630 1.197 1.496
Mo -1.908 -1.188 -1.130
Te 0.000 0.000 0.000
Al -3.352 -2.051 2.217
In 0.187 -2.060 1.851
```

=====

Entry 4:
DFT (PBE) results for YAlIn2Mo after structural relaxation.

Calculated values
- Energy of formation: 135 kJ/mol of formula units

Geometry as extended XYZ:
```
5
Lattice="-4.011 -3.142 1.590 2.716 -4.009 -1.072 1.964 0.004 4.963" Properties=species:S:1:pos:R:3 pbc="T T T"
Y 0.334 -3.574 2.740
Mo 0.000 0.000 0.000
Al 1.358 -2.004 -0.536
In 0.982 0.002 2.481
In -2.005 -1.571 0.795
```

=====

Entry 5:
DFT (PBE) results for AlInN2 after structural relaxation.

Calculated values
- Raw formation energy: 0.914 eV per atom

Geometry as extended XYZ:
```
4
Lattice="2.317 0.302 3.228 -0.637 2.911 2.644 -1.475 -0.865 3.599" Properties=species:S:1:pos:R:3 pbc="T T T"
N 0.051 0.587 2.368
N 0.153 1.761 7.103
Al 0.000 0.000 0.000
In 0.102 1.174 4.735
```

=====

Entry 6:
DFT (PBE) results for AlInN2 after structural relaxation.

Calculated values
- Raw formation energy: -0.527 eV per atom

Geometry as extended XYZ:
```
4
Lattice="-2.710 -0.965 -1.679 -1.478 -2.891 0.743 -4.595 1.295 3.369" Properties=species:S:1:pos:R:3 pbc="T T T"
Al -2.504 -1.963 0.732
In -5.418 -0.351 1.206
N -3.588 -1.088 1.979
N -2.099 -0.618 -0.695
```

=====

Entry 7:
DFT (PBE) results for Al2InN after structural relaxation.

Calculated values
- Offset from the most stable computed form: 5.03 eV per formula unit
- Raw formation energy: 1.057 eV per atom

Geometry as extended XYZ:
```
4
Lattice="0.000 3.220 3.220 3.220 0.000 3.220 3.220 3.220 0.000" Properties=species:S:1:pos:R:3 pbc="T T T"
N 0.000 0.000 0.000
Al 1.610 1.610 1.610
Al 4.830 4.830 4.830
In 3.220 3.220 3.220
```

=====

Entry 8:
DFT (PBE) results for AlIn2N3 after structural relaxation.

Calculated values
- Raw formation energy: -0.394 eV per atom

Geometry as extended XYZ:
```
12
Lattice="5.940 0.000 0.000 -2.956 5.136 0.000 0.000 0.000 5.500" Properties=species:S:1:pos:R:3 pbc="T T T"
Al -1.947 3.383 2.691
Al -1.009 1.753 5.441
In 0.931 1.723 2.679
In 3.982 0.060 2.679
In 2.053 3.413 5.429
In -0.998 5.076 5.429
N 0.809 1.710 4.871
N 4.055 0.160 4.871
N 2.175 3.426 2.121
N -1.071 4.976 2.121
N -1.866 3.243 4.605
N -1.090 1.893 1.855
```